(1)
Density functional theory data (SCAN) for a crystal of AlAuS2N relaxed with PBEsol.

Summary:
Raw formation energy in eV per atom: 0.40

Unit cell a=4.6973 b=4.6973 c=3.6052 alpha=90.00 beta=90.00 gamma=90.00
Last column: nearest neighbours and their distance in Å.
Atoms (fractional coordinates):
Al 0.0000 0.0000 0.0000  2 N 1.80
Au 0.5000 0.5000 0.5000  8 S 2.96
S 0.0000 0.5000 0.0000  2 Al 2.35
S 0.5000 0.0000 0.0000  2 Al 2.35
N 0.0000 0.0000 0.5000  2 Al 1.80

=====

(2)
Density functional theory data (SCAN) for a crystal of NaAlAu3 relaxed with PBEsol.

Summary:
Energy above the lowest structure with this stoichiometry in eV per atom: 1.0848
Formation enthalpy at 0 K in eV per atom: 0.87

Unit cell a=4.8252 b=4.8252 c=4.8252 alpha=90.00 beta=90.00 gamma=90.00
Last column: nearest neighbours and their distance in Å.
Atoms (fractional coordinates):
Na 0.0000 0.0000 0.0000  6 Au 2.41
Al 0.5000 0.5000 0.5000  12 Au 3.41
Au 0.0000 0.0000 0.5000  2 Na 2.41
Au 0.0000 0.5000 0.0000  2 Na 2.41
Au 0.5000 0.0000 0.0000  2 Na 2.41

=====

| no. | DOS(E_F) (states/eV per cell) |
| --- | --- |
| 1 | 2.528 |
| 2 | 2.275 |